BeSiSe2 | GGA-PBE | optimized geometry

Geometry as CIF:
```
data_BeSiSe2
_chemical_formula_sum 'Be2 Si2 Se4'
_symmetry_space_group_name_H-M 'C 1 m 1'
_symmetry_Int_Tables_number 8
_cell_length_a 8.845
_cell_length_b 3.586
_cell_length_c 6.885
_cell_angle_alpha 90.00
_cell_angle_beta 100.44
_cell_angle_gamma 90.00
loop_
_symmetry_equiv_pos_as_xyz
'x,y,z'
'x,-y,z'
'x+1/2,y+1/2,z'
'x+1/2,-y+1/2,z'
loop_
_atom_site_label
_atom_site_type_symbol
_atom_site_fract_x
_atom_site_fract_y
_atom_site_fract_z
_atom_site_occupancy
Be1 Be 0.000 0.000 0.000 1
Si1 Si 0.234 0.000 0.922 1
Se1 Se 0.305 0.500 0.723 1
Se2 Se 0.453 0.000 0.176 1
```

## Properties
Crystal system = monoclinic

---

BeSi3Se | GGA-PBE | optimized geometry

Geometry as CIF:
```
data_BeSi3Se
_chemical_formula_sum 'Be1 Si3 Se1'
_symmetry_space_group_name_H-M 'P m -3 m'
_symmetry_Int_Tables_number 221
_symmetry_space_group_name_Hall '-P 4 2 3'
_cell_length_a 4.377
_cell_length_b 4.377
_cell_length_c 4.377
_cell_angle_alpha 90.00
_cell_angle_beta 90.00
_cell_angle_gamma 90.00
loop_
_atom_site_label
_atom_site_type_symbol
_atom_site_fract_x
_atom_site_fract_y
_atom_site_fract_z
_atom_site_occupancy
Be1 Be 0.000 0.000 0.000 1
Si1 Si 0.000 0.000 0.500 1
Se1 Se 0.500 0.500 0.500 1
```

## Properties
N(E_F) = 3.66 states/eV per cell
Crystal system = cubic

---

BeSi2Se | GGA-PBE | optimized geometry

Geometry as CIF:
```
data_BeSi2Se
_chemical_formula_sum 'Be1 Si2 Se1'
_symmetry_space_group_name_H-M 'P 4/m m m'
_symmetry_Int_Tables_number 123
_symmetry_space_group_name_Hall '-P 4 2'
_cell_length_a 3.406
_cell_length_b 3.406
_cell_length_c 5.638
_cell_angle_alpha 90.00
_cell_angle_beta 90.00
_cell_angle_gamma 90.00
loop_
_atom_site_label
_atom_site_type_symbol
_atom_site_fract_x
_atom_site_fract_y
_atom_site_fract_z
_atom_site_occupancy
Be1 Be 0.000 0.000 0.000 1
Si1 Si 0.000 0.500 0.500 1
Se1 Se 0.500 0.500 0.000 1
```

## Properties
N(E_F) = 1.36 states/eV per cell
Crystal system = tetragonal

---

BeSi2Se | GGA-PBE | optimized geometry

Geometry as CIF:
```
data_BeSi2Se
_chemical_formula_sum 'Be4 Si8 Se4'
_symmetry_space_group_name_H-M 'I -4 2 d'
_symmetry_Int_Tables_number 122
_symmetry_space_group_name_Hall 'I -4 2bw'
_cell_length_a 5.365
_cell_length_b 5.365
_cell_length_c 10.807
_cell_angle_alpha 90.00
_cell_angle_beta 90.00
_cell_angle_gamma 90.00
loop_
_atom_site_label
_atom_site_type_symbol
_atom_site_fract_x
_atom_site_fract_y
_atom_site_fract_z
_atom_site_occupancy
Be1 Be 0.000 0.000 0.000 1
Si1 Si 0.196 0.250 0.125 1
Se1 Se 0.000 0.000 0.500 1
```

## Properties
N(E_F) = 0.20 states/eV per cell
Crystal system = tetragonal

---

Be2SiSe | GGA-PBE | optimized geometry

Geometry as CIF:
```
data_Be2SiSe
_chemical_formula_sum 'Be4 Si2 Se2'
_symmetry_space_group_name_H-M 'C 1 m 1'
_symmetry_Int_Tables_number 8
_cell_length_a 6.815
_cell_length_b 3.780
_cell_length_c 5.615
_cell_angle_alpha 90.00
_cell_angle_beta 111.18
_cell_angle_gamma 90.00
loop_
_symmetry_equiv_pos_as_xyz
'x,y,z'
'x,-y,z'
'x+1/2,y+1/2,z'
'x+1/2,-y+1/2,z'
loop_
_atom_site_label
_atom_site_type_symbol
_atom_site_fract_x
_atom_site_fract_y
_atom_site_fract_z
_atom_site_occupancy
Be1 Be 0.000 0.000 0.000 1
Be2 Be 0.124 0.500 0.880 1
Si1 Si 0.344 0.000 0.047 1
Se1 Se 0.048 0.000 0.612 1
```

## Properties
N(E_F) = 0.61 states/eV per cell
Crystal system = monoclinic

---

Be2SiSe | GGA-PBE | optimized geometry

Geometry as CIF:
```
data_Be2SiSe
_chemical_formula_sum 'Be4 Si2 Se2'
_symmetry_space_group_name_H-M 'I m m m'
_symmetry_Int_Tables_number 71
_symmetry_space_group_name_Hall '-I 2 2'
_cell_length_a 3.119
_cell_length_b 5.410
_cell_length_c 7.046
_cell_angle_alpha 90.00
_cell_angle_beta 90.00
_cell_angle_gamma 90.00
loop_
_atom_site_label
_atom_site_type_symbol
_atom_site_fract_x
_atom_site_fract_y
_atom_site_fract_z
_atom_site_occupancy
Be1 Be 0.000 0.000 0.239 1
Si1 Si 0.000 0.500 0.000 1
Se1 Se 0.000 0.500 0.500 1
```

## Properties
N(E_F) = 2.84 states/eV per cell
Crystal system = orthorhombic

---

What excess energy over the best structure of this formula in the dataset values result from the calculations? In sequence: 0.0; 0.0; 668.2; 440.1; 4.9; 422.4 meV/atom.
What mass density values result from the calculations? In sequence: 3.0; 3.4; 3.7; 3.1; 3.1; 3.5 g cm⁻³.
What energy relative to the elements, uncorrected values result from the calculations? In sequence: -0.407; 0.652; 0.446; 0.218; 0.111; 0.529 eV per atom.